Entry 1:
Material: LiDyMgSi
Method: DFT, PBE
State: optimized geometry

Cell lengths 6.768, 6.768, 6.768 Å; angles 90.00, 90.00, 90.00 degrees
Space group F-43m (No. 216)
Inequivalent atoms, fractional coordinates:
Li (0.000, 0.000, 0.000) x4
Dy (0.250, 0.250, 0.250) x4
Mg (0.250, 0.250, 0.750) x4
Si (0.000, 0.000, 0.500) x4

Computed properties:
* crystal system: cubic
* uncorrected energy: -3.62 eV per atom

Entry 2:
Material: Li2Sm2DyMg5
Method: DFT, PBE
State: optimized geometry

Cell lengths 10.657, 10.657, 4.433 Å; angles 90.00, 90.00, 90.00 degrees
Space group P4/mbm (No. 127)
Inequivalent atoms, fractional coordinates:
Li (0.114, 0.386, 0.000) x4
Sm (0.181, 0.681, 0.000) x4
Dy (0.000, 0.000, 0.000) x2
Mg (0.000, 0.500, 0.500) x2
Mg (0.062, 0.214, 0.500) x8

Computed properties:
* crystal system: tetragonal
* uncorrected energy: -2.62 eV per atom
* E_form: -0.04 eV/atom

Entry 3:
Material: LiSmDyMg
Method: DFT, PBE
State: optimized geometry

Cell lengths 7.579, 7.579, 7.579 Å; angles 90.00, 90.00, 90.00 degrees
Space group F-43m (No. 216)
Inequivalent atoms, fractional coordinates:
Li (0.000, 0.000, 0.000) x4
Sm (0.250, 0.250, 0.750) x4
Dy (0.250, 0.250, 0.250) x4
Mg (0.000, 0.000, 0.500) x4

Computed properties:
* crystal system: cubic
* uncorrected energy: -3.17 eV per atom
* E_form: 0.03 eV/atom

Q: uncorrected energy of number 2 (Li2Sm2DyMg5)?
A: -2.62 eV per atom

Q: What is the uncorrected energy in the second record?
A: -2.62 eV per atom